Entry 1:
Material: NaNbAsSe2
Method: DFT, PBE
State: relaxed

Cell and atoms, written as POSCAR:
```
NaNbAsSe2
1.0
4.9344 0.0000 0.0000
0.0000 4.9344 0.0000
0.0000 0.0000 4.7884
Na Nb As Se
1 1 1 2
direct
0.0000 0.0000 0.0000
0.5000 0.5000 0.5000
0.0000 0.0000 0.5000
0.0000 0.5000 0.0000
0.5000 0.0000 0.0000
```

Summary:
Its formation energy (no corrections) is 5.5 eV per formula unit. The space-group type is P4/mmm. As for the relative energy among the computed polymorphs: 1503.9 meV per atom.

=====

Entry 2:
Material: NaNb2SiAs
Method: DFT, PBE
State: relaxed

Cell and atoms, written as POSCAR:
```
NaNb2SiAs
1.0
4.8336 0.0000 0.0000
0.0000 4.8336 0.0000
0.0000 0.0000 4.4800
Na Nb Si As
1 2 1 1
direct
0.0000 0.0000 0.0000
0.0000 0.5000 0.0000
0.5000 0.0000 0.0000
0.5000 0.5000 0.5000
0.0000 0.0000 0.5000
```

Summary:
Its formation energy (no corrections) is 9.7 eV per formula unit. The space-group type is P4/mmm.

=====

Entry 3:
Material: Na5SrNbAs4
Method: DFT, PBE
State: relaxed

Cell and atoms, written as POSCAR:
```
Na5SrNbAs4
1.0
4.7947 -8.3018 0.0000
4.7947 8.3018 0.0000
-0.0743 0.0000 7.5804
Na Sr Nb As
10 2 2 8
direct
0.0324 0.9676 0.5000
0.2015 0.3407 0.6850
0.3407 0.2015 0.1850
0.3483 0.6283 0.1632
0.4307 0.9649 0.4991
0.6283 0.3483 0.6632
0.6427 0.7865 0.6533
0.7865 0.6427 0.1533
0.9649 0.4307 0.9991
0.9676 0.0324 0.0000
0.0260 0.5542 0.4933
0.5542 0.0260 0.9933
0.1560 0.8265 0.8853
0.8265 0.1560 0.3853
0.1141 0.3058 0.2906
0.1646 0.8264 0.2152
0.3058 0.1141 0.7906
0.3056 0.6873 0.7792
0.6842 0.8743 0.2725
0.6873 0.3056 0.2792
0.8264 0.1646 0.7152
0.8743 0.6842 0.7725
```

Summary:
For the formation energy, the calculation gives -14.25 kcal/mol of atoms. The space-group type is Cc.

=====

Entry 4:
Material: NaYNb2As
Method: DFT, PBE
State: relaxed

Cell and atoms, written as POSCAR:
```
NaYNb2As
1.0
4.7299 0.0000 0.0000
0.0000 4.7299 0.0000
0.0000 0.0000 5.1914
Na Y Nb As
1 1 2 1
direct
0.0000 0.0000 0.0000
0.0000 0.0000 0.5000
0.0000 0.5000 0.0000
0.5000 0.0000 0.0000
0.5000 0.5000 0.5000
```

Summary:
For the formation energy, the calculation gives 37.10 kcal/mol of atoms. The space-group type is P4/mmm.

=====

Entry 5:
Material: NaNdAs
Method: DFT, PBE
State: relaxed

Cell and atoms, written as POSCAR:
```
NaNdAs
1.0
3.8748 -2.2411 0.0000
3.8748 2.2411 0.0000
-0.0472 0.0000 10.8548
Na Nd As
2 2 2
direct
0.1684 0.1684 0.4034
0.8316 0.8316 0.5966
0.1659 0.1659 0.8456
0.8341 0.8341 0.1544
0.4986 0.4986 0.7203
0.5014 0.5014 0.2797
```

Summary:
For the formation energy, the calculation gives -13.54 kcal/mol of atoms. The space-group type is C2/m.

=====

Entry 6:
Material: Na2NdAsO4
Method: DFT, PBE
State: relaxed

Cell and atoms, written as POSCAR:
```
Na2NdAsO4
1.0
5.8671 0.0000 0.0000
0.0000 3.4470 0.0000
-1.9538 0.0000 5.5968
Na Nd As O
2 1 1 4
direct
0.0000 0.0000 0.0000
0.5000 0.5000 0.0000
0.0000 0.5000 0.5000
0.5000 0.0000 0.5000
0.2578 0.0000 0.7147
0.2729 0.5000 0.2807
0.7271 0.5000 0.7193
0.7422 0.0000 0.2853
```

Summary:
Its formation energy (no corrections) is -14.8 eV per formula unit. The space-group type is P2/m.

=====

Number 1: calculated density 4.97 g/cm³. Number 2: calculated density 4.95 g/cm³. Number 3: calculated density 3.28 g/cm³. Number 4: calculated density 5.33 g/cm³. Number 5: calculated density 4.27 g/cm³. Number 6: calculated density 4.83 g/cm³.